A relaxed structure of Na3Zn2Sb4Pd2. Source: the Alexandria database, functional PBE.

Results
Its crystal system is trigonal. The uncorrected formation energy is -29.8 kJ/mol of atoms. The calculation puts the density at 5.17 g cm⁻³. The total energy is -36.8 eV/cell. The magnetization is 0.00 μB per cell.

Cell lengths 4.473, 4.473, 16.663 Å; angles 90.00, 90.00, 120.00 degrees
Atoms (fractional coordinates):
Sb  0.667  0.333  0.137
Zn  0.667  0.333  0.861
Na  0.000  0.000  0.000
Sb  0.667  0.333  0.597
Na  0.000  0.000  0.723
Na  0.000  0.000  0.277
Sb  0.333  0.667  0.863
Pd  0.667  0.333  0.441
Sb  0.333  0.667  0.403
Pd  0.333  0.667  0.559
Zn  0.333  0.667  0.139

A relaxed structure of ErPa2Ir. Source: the Alexandria database, functional PBE.

Results
Its crystal system is trigonal. The calculation puts the density at 12.72 g cm⁻³. The total energy is -32.1 eV/cell. The calculated formation energy is 0.087 eV per atom. The magnetization is 0.42 μB per cell.

Cell lengths 3.503, 3.503, 10.299 Å; angles 80.21, 80.21, 60.00 degrees
Site moments in Bohr magnetons follow the coordinates.
Atoms (fractional coordinates):
Ir  0.500  0.500  0.500  -0.01
Pa  0.103  0.103  0.690  0.15
Er  0.000  0.000  0.000  0.06
Pa  0.897  0.897  0.310  0.15

A relaxed structure of KAlIr2. Source: the Alexandria database, functional PBE.

Results
Its crystal system is tetragonal. The calculation puts the density at 10.01 g cm⁻³. The total energy is -21.7 eV/cell. The calculated formation energy is 0.211 eV per atom. The magnetization is 0.00 μB per cell.

Cell lengths 2.824, 2.824, 9.369 Å; angles 90.00, 90.00, 90.00 degrees
Atoms (fractional coordinates):
Al  0.500  0.500  0.813
Ir  0.000  0.000  0.003
Ir  0.500  0.500  0.197
K  0.000  0.000  0.488

A relaxed structure of Hg3BiPb6. Source: the Alexandria database, functional PBE.

Results
Its crystal system is monoclinic. The calculation puts the density at 11.23 g cm⁻³. The total energy is -53.3 eV/cell. The calculated formation energy is 0.037 eV per atom. The magnetization is 0.00 μB per cell. The value obtained for the offset from the most stable computed form is 0 meV/atom.

Cell lengths 3.400, 13.081, 14.658 Å; angles 111.26, 90.00, 90.00 degrees
Atoms (fractional coordinates):
Pb  0.750  0.827  0.706
Pb  0.750  0.119  0.491
Pb  0.750  0.688  0.303
Hg  0.250  0.765  0.881
Pb  0.250  0.881  0.509
Hg  0.250  0.375  0.502
Hg  0.250  0.477  0.106
Bi  0.750  0.082  0.714
Pb  0.250  0.173  0.294
Pb  0.750  0.292  0.924
Pb  0.250  0.312  0.697
Pb  0.250  0.444  0.309
Pb  0.750  0.963  0.095
Pb  0.250  0.708  0.076
Hg  0.750  0.523  0.894
Bi  0.250  0.918  0.286
Pb  0.250  0.037  0.905
Hg  0.750  0.625  0.498
Pb  0.750  0.556  0.691
Hg  0.750  0.235  0.119

A relaxed structure of AcPmEuLu. Source: the Alexandria database, functional PBE.

Results
Its crystal system is cubic. The calculation puts the density at 7.82 g cm⁻³. The total energy is -23.2 eV/cell. The calculated formation energy is 0.123 eV per atom. The magnetization is 7.54 μB per cell.

Cell lengths 5.942, 5.942, 5.942 Å; angles 60.00, 60.00, 60.00 degrees
Site moments in Bohr magnetons follow the coordinates.
Atoms (fractional coordinates):
Lu  0.500  0.500  0.500  0.06
Ac  0.250  0.250  0.250  0.05
Eu  0.000  0.000  0.000  6.86
Pm  0.750  0.750  0.750  0.08

A relaxed structure of Sr2TbI. Source: the Alexandria database, functional PBE.

Results
Its crystal system is trigonal. The uncorrected formation energy is -18.9 kJ/mol of atoms. The calculation puts the density at 4.51 g cm⁻³. The total energy is -10.3 eV/cell. The magnetization is 0.77 μB per cell.

Cell lengths 3.972, 3.972, 12.637 Å; angles 80.96, 80.96, 60.00 degrees
Site moments in Bohr magnetons follow the coordinates.
Atoms (fractional coordinates):
Tb  0.000  0.000  0.000  0.33
Sr  0.098  0.098  0.707  0.01
I  0.500  0.500  0.500  0.00
Sr  0.902  0.902  0.293  0.01